LaNbP2O | meta-GGA SCAN | PBEsol geometry

Calculated values
formation energy from raw total energies: 1.10 eV per formula unit
total magnetization: 1.605 μB/f.u.
Fermi-level density of states: 0.427 states/eV per atom

abc: 4.017 5.291 5.291
angles: 90.00 90.00 90.00
Each line ends with the local moment (μB).
Fractional positions:
P1 0.000 0.000 0.500  0.19
P2 0.000 0.500 0.000  0.19
Nb1 0.500 0.500 0.500  -1.90
O1 0.500 0.000 0.000  0.02
La1 0.000 0.000 0.000  0.06


RbLaNb2O7 | meta-GGA SCAN | PBEsol geometry

Calculated values
formation energy from raw total energies: -33.08 eV per formula unit
total magnetization: 0.000 μB/f.u.
Fermi-level density of states: 0.000 states/eV per atom

abc: 5.492 5.547 11.711
angles: 76.30 76.44 90.00
Fractional positions:
Rb1 0.500 0.500 0.000
Rb2 0.000 0.000 0.000
La1 0.250 0.264 0.500
La2 0.750 0.736 0.500
Nb1 0.352 0.858 0.295
Nb2 0.852 0.347 0.295
Nb3 0.648 0.142 0.705
Nb4 0.148 0.653 0.705
O1 0.427 0.927 0.645
O2 0.250 0.683 0.500
O3 0.067 0.627 0.865
O4 0.573 0.073 0.355
O5 0.433 0.992 0.135
O6 0.595 0.595 0.310
O7 0.750 0.317 0.500
O8 0.095 0.595 0.310
O9 0.567 0.008 0.865
O10 0.905 0.405 0.690
O11 0.927 0.927 0.645
O12 0.933 0.373 0.135
O13 0.405 0.405 0.690
O14 0.073 0.073 0.355


Sr2LaTi2Nb3O15 | meta-GGA SCAN | PBEsol geometry

Calculated values
formation energy from raw total energies: -73.25 eV per formula unit
total magnetization: 0.000 μB/f.u.
Fermi-level density of states: 0.000 states/eV per atom

abc: 3.924 12.356 12.429
angles: 90.00 90.00 90.00
Fractional positions:
Sr1 0.000 0.293 0.121
Sr2 0.000 0.707 0.879
Sr3 0.000 0.793 0.379
Sr4 0.000 0.207 0.621
La1 0.000 0.500 0.500
La2 0.000 0.000 0.000
Ti1 0.500 0.293 0.414
Ti2 0.500 0.707 0.586
Ti3 0.500 0.793 0.086
Ti4 0.500 0.207 0.914
Nb1 0.500 0.579 0.284
Nb2 0.500 0.421 0.716
Nb3 0.500 0.921 0.784
Nb4 0.500 0.079 0.216
Nb5 0.500 0.000 0.500
Nb6 0.500 0.500 0.000
O1 0.500 0.341 0.995
O2 0.500 0.659 0.005
O3 0.500 0.841 0.505
O4 0.500 0.159 0.495
O5 0.500 0.983 0.339
O6 0.500 0.017 0.661
O7 0.500 0.517 0.839
O8 0.500 0.483 0.161
O9 0.000 0.305 0.430
O10 0.000 0.695 0.570
O11 0.000 0.805 0.070
O12 0.000 0.195 0.930
O13 0.000 0.585 0.302
O14 0.000 0.415 0.698
O15 0.000 0.915 0.802
O16 0.000 0.085 0.198
O17 0.500 0.445 0.379
O18 0.500 0.555 0.621
O19 0.500 0.945 0.121
O20 0.500 0.055 0.879
O21 0.500 0.647 0.431
O22 0.500 0.353 0.569
O23 0.500 0.853 0.931
O24 0.500 0.147 0.069
O25 0.500 0.230 0.274
O26 0.500 0.770 0.726
O27 0.500 0.730 0.226
O28 0.500 0.270 0.774
O29 0.000 0.000 0.500
O30 0.000 0.500 0.000